Below is MnTlRe2 after structural relaxation, with properties calculated at the PBEsol level.

a = 3.2681 Å, b = 4.2884 Å, c = 4.4506 Å
α = 90.00°, β = 90.00°, γ = 90.00°
Each line ends with the local moment (μB).
Atoms (fractional coordinates):
Mn 0.0000 0.5000 0.5000  3.00
Re 0.5000 0.5000 0.0000  0.08
Re 0.0000 0.0000 0.0000  -0.09
Tl 0.5000 0.0000 0.5000  -0.02

Energy above the lowest structure with this stoichiometry in meV per atom: 212
Total DFT energy (no corrections) in eV per atom: -8.961
Total magnetization in Bohr magnetons per cell: 3.0
DOS at the Fermi energy in states/eV per atom: 0.8939